[1]
A geometry-optimized AcInBiO6 structure. Source: the Alexandria database, functional GGA-PBE.

Geometry as CIF:
```
data_AcInBiO6
_chemical_formula_sum 'Ac1 In1 Bi1 O6'
_cell_length_a 5.6763
_cell_length_b 5.6763
_cell_length_c 5.3489
_cell_angle_alpha 90.00
_cell_angle_beta 90.00
_cell_angle_gamma 120.00
_space_group_name_H-M_alt 'P 3 1 2'
_space_group_IT_number 149
_space_group_name_Hall 'P 3 2'
loop_
_atom_site_label
_atom_site_fract_x
_atom_site_fract_y
_atom_site_fract_z
Ac1 0.0000 0.0000 0.0000
In1 0.3333 0.6667 0.5000
Bi1 0.6667 0.3333 0.5000
O1 0.3650 0.0071 0.7209
```

Summary:
**Total magnetic moment**: 1.1 Bohr magnetons per cell
**Energy relative to the elements, uncorrected**: -14.634 eV per formula unit
**Uncorrected energy**: -6.12 eV/atom



[2]
A geometry-optimized TlSnIr2 structure. Source: the Alexandria database, functional GGA-PBE.

Geometry as CIF:
```
data_TlSnIr2
_chemical_formula_sum 'Tl4 Sn4 Ir8'
_cell_length_a 7.373
_cell_length_b 7.373
_cell_length_c 5.936
_cell_angle_alpha 90.00
_cell_angle_beta 90.00
_cell_angle_gamma 90.00
_space_group_name_H-M_alt 'I -4 2 d'
_space_group_IT_number 122
_space_group_name_Hall 'I -4 2bw'
loop_
_atom_site_label
_atom_site_fract_x
_atom_site_fract_y
_atom_site_fract_z
Tl1 0.000 0.000 0.000
Sn1 0.000 0.000 0.500
Ir1 0.227 0.250 0.625
```

Summary:
**Total magnetic moment**: 0.0 Bohr magnetons per cell
**Formation enthalpy at 0 K**: 0.578 eV/atom
**Uncorrected energy**: -5.44 eV/atom



[3]
A geometry-optimized CdAs2Se structure. Source: the Alexandria database, functional GGA-PBE.

Geometry as CIF:
```
data_CdAs2Se
_chemical_formula_sum 'Cd2 As4 Se2'
_cell_length_a 3.555
_cell_length_b 4.999
_cell_length_c 9.455
_cell_angle_alpha 90.00
_cell_angle_beta 90.00
_cell_angle_gamma 90.00
_space_group_name_H-M_alt 'I m m m'
_space_group_IT_number 71
_space_group_name_Hall '-I 2 2'
loop_
_atom_site_label
_atom_site_fract_x
_atom_site_fract_y
_atom_site_fract_z
Cd1 0.000 0.000 0.000
As1 0.000 0.500 0.227
Se1 0.000 0.000 0.500
```

Summary:
**Total magnetic moment**: 0.0 Bohr magnetons per cell
**Energy relative to the elements, uncorrected**: 1.152 eV per formula unit
**Uncorrected energy**: -3.14 eV/atom



Which of these has the highest total magnetic moment? AcInBiO6